Record 1
An optimized crystal structure of LaTc3O, computed with PBE.

E above lowest polymorph ... 2604 meV per atom
DOS at the Fermi energy ... 11.1 states/eV/f.u.

Cell: 4.7443 4.7443 4.7443 Å, 90.00 90.00 90.00°
Last column: nearest neighbours and their distance in Å.
Element x y z (fractional)
Tc 0.0000 0.5000 0.0000  2 La 2.37
Tc 0.0000 0.0000 0.5000  2 La 2.37
Tc 0.5000 0.0000 0.0000  2 La 2.37
O 0.5000 0.5000 0.5000  12 Tc 3.35
La 0.0000 0.0000 0.0000  6 Tc 2.37

---

Record 2
An optimized crystal structure of La2Tc2O7, computed with PBE.

DOS at the Fermi energy ... 2.2 states/eV/f.u.

Cell: 7.5209 7.5209 7.5209 Å, 60.00 60.00 60.00°
Last column: nearest neighbours and their distance in Å.
Element x y z (fractional)
La 0.6250 0.6250 0.6250  2 O 2.30
La 0.6250 0.6250 0.1250  2 O 2.30
La 0.6250 0.1250 0.6250  2 O 2.30
La 0.1250 0.6250 0.6250  2 O 2.30
Tc 0.6250 0.1250 0.1250  6 O 2.06
Tc 0.1250 0.6250 0.1250  6 O 2.06
Tc 0.1250 0.1250 0.6250  6 O 2.06
Tc 0.1250 0.1250 0.1250  6 O 2.06
O 0.2046 0.2046 0.7954  2 Tc 2.06
O 0.2046 0.7954 0.2046  2 Tc 2.06
O 0.4546 0.0454 0.4546  2 Tc 2.06
O 0.4546 0.4546 0.0454  2 Tc 2.06
O 0.7500 0.7500 0.7500  4 La 2.30
O 0.7954 0.2046 0.2046  2 Tc 2.06
O 0.4546 0.0454 0.0454  2 Tc 2.06
O 0.0454 0.4546 0.4546  2 Tc 2.06
O 0.0454 0.0454 0.4546  2 Tc 2.06
O 0.0454 0.4546 0.0454  2 Tc 2.06
O 0.2046 0.7954 0.7954  2 Tc 2.06
O 0.5000 0.5000 0.5000  4 La 2.30
O 0.7954 0.2046 0.7954  2 Tc 2.06
O 0.7954 0.7954 0.2046  2 Tc 2.06

---

Record 3
An optimized crystal structure of LaTc2O8, computed with PBE.

E above lowest polymorph ... 0 meV per atom
DOS at the Fermi energy ... 5.6 states/eV/f.u.

Cell: 6.1851 6.0959 6.0959 Å, 54.89 73.86 73.86°
Last column: nearest neighbours and their distance in Å.
Element x y z (fractional)
La 0.0000 0.0000 0.0000  6 O 2.43-2.52
Tc 0.3117 0.2024 0.2024  4 O 1.74-1.79
Tc 0.6883 0.7976 0.7976  4 O 1.74-1.79
O 0.7962 0.1043 0.6372  1 Tc 1.77
O 0.2038 0.3628 0.8957  1 Tc 1.77
O 0.6164 0.1529 0.1529  1 Tc 1.79
O 0.3836 0.8471 0.8471  1 Tc 1.79
O 0.7962 0.6372 0.1043  1 Tc 1.77
O 0.2038 0.8957 0.3628  1 Tc 1.77
O 0.1966 0.3713 0.3713  1 Tc 1.74
O 0.8034 0.6287 0.6287  1 Tc 1.74

---

Record 4
An optimized crystal structure of La2TlTcO8, computed with PBE.

Cell: 4.8015 5.0638 7.5416 Å, 87.63 87.16 94.70°
Last column: nearest neighbours and their distance in Å.
Element x y z (fractional)
La 0.4218 0.4673 0.7638  6 O 2.37-2.57
La 0.5782 0.5327 0.2362  6 O 2.37-2.57
Tl 0.0000 0.0000 0.5000  2 O 2.00
Tc 0.0000 0.0000 0.0000  6 O 1.89-1.93
O 0.1288 0.7474 0.1648  1 Tc 1.91
O 0.6987 0.7519 0.9562  1 Tc 1.89
O 0.7895 0.1197 0.2018  1 Tc 1.93
O 0.8712 0.2526 0.8352  1 Tc 1.91
O 0.3013 0.2481 0.0438  1 Tc 1.89
O 0.2105 0.8803 0.7982  1 Tc 1.93
O 0.7058 0.6953 0.5204  1 Tl 2.00
O 0.2942 0.3047 0.4796  1 Tl 2.00

---

Record 5
An optimized crystal structure of LaTlTcO6, computed with PBE.

DOS at the Fermi energy ... 3.2 states/eV/f.u.

Cell: 5.7734 5.7735 4.7990 Å, 89.94 90.05 59.95°
Last column: nearest neighbours and their distance in Å.
Element x y z (fractional)
La 0.6665 0.6665 0.5002  6 O 2.36
Tl 0.9997 0.9998 0.0000  6 O 2.50-2.51
Tc 0.3332 0.3332 0.4999  6 O 1.92
O 0.0565 0.3378 0.2748  1 Tc 1.92
O 0.3376 0.0566 0.7252  1 Tc 1.92
O 0.6065 0.3370 0.7249  1 Tc 1.92
O 0.0569 0.6059 0.7246  1 Tc 1.92
O 0.3371 0.6064 0.2750  1 Tc 1.92
O 0.6058 0.0568 0.2753  1 Tc 1.92

---

Record 6
An optimized crystal structure of La6Tl2TcO, computed with PBE.

DOS at the Fermi energy ... 7.5 states/eV/f.u.

Cell: 7.5659 7.5918 10.6103 Å, 90.00 90.00 90.00°
Last column: nearest neighbours and their distance in Å.
Element x y z (fractional)
La 0.5000 0.2341 0.2579  1 O 2.58, 1 Tc 2.78
La 0.5000 0.2341 0.7421  1 O 2.58, 1 Tc 2.78
La 0.0000 0.7659 0.2421  1 O 2.58, 1 Tc 2.78
La 0.0000 0.7659 0.7579  1 O 2.58, 1 Tc 2.78
La 0.2493 0.0172 0.5000  1 O 2.67
La 0.7507 0.0172 0.5000  1 O 2.67
La 0.2632 0.5020 0.5000  1 Tc 2.49, 1 O 2.54
La 0.7368 0.5020 0.5000  1 Tc 2.49, 1 O 2.54
La 0.7632 0.4980 0.0000  1 Tc 2.49, 1 O 2.54
La 0.2368 0.4980 0.0000  1 Tc 2.49, 1 O 2.54
La 0.2507 0.9828 0.0000  1 O 2.67
La 0.7493 0.9828 0.0000  1 O 2.67
Tl 0.5000 0.7527 0.2483  12 La 3.66-3.94
Tl 0.0000 0.2473 0.7483  12 La 3.66-3.94
Tl 0.5000 0.7527 0.7517  12 La 3.66-3.94
Tl 0.0000 0.2473 0.2517  12 La 3.66-3.94
Tc 0.0000 0.6995 0.5000  4 La 2.49-2.78
Tc 0.5000 0.3005 0.0000  4 La 2.49-2.78
O 0.5000 0.2641 0.5000  6 La 2.54-2.67
O 0.0000 0.7359 0.0000  6 La 2.54-2.67

---

Number 1: volume 106.8 Å³ per cell, E -27.2 eV per cell, formation energy from raw total energies 265.4 kJ/mol of atoms. Number 2: volume 300.8 Å³ per cell, E -182.1 eV per cell, formation energy from raw total energies -225.9 kJ/mol of atoms. Number 3: volume 178.6 Å³ per cell, E -85.0 eV per cell, formation energy from raw total energies -172.9 kJ/mol of atoms. Number 4: volume 182.3 Å³ per cell, E -86.5 eV per cell, formation energy from raw total energies -194.8 kJ/mol of atoms. Number 5: volume 138.5 Å³ per cell, E -62.1 eV per cell, formation energy from raw total energies -157.3 kJ/mol of atoms. Number 6: volume 609.4 Å³ per cell, E -112.4 eV per cell, formation energy from raw total energies -63.6 kJ/mol of atoms.